Entry 1:
The following is a PBE calculation of a relaxed ZrCr3Sn crystal, from Alexandria.

The structure in POSCAR format:
```
ZrCr3Sn
1.0
4.813 0.000 0.000
0.000 4.813 0.000
0.000 0.000 4.813
Zr Cr Sn
1 3 1
Direct
0.000 0.000 0.000
0.000 0.000 0.500
0.000 0.500 0.000
0.500 0.000 0.000
0.500 0.500 0.500
```

Offset from the most stable computed form in eV per atom: 0.095
Spin magnetization in μB/cell: 9.2
ΔE_f in eV/atom: 1.534

***

Entry 2:
The following is a PBE calculation of a relaxed Zr2Cr2Sn crystal, from Alexandria.

The structure in POSCAR format:
```
Zr2Cr2Sn
1.0
-1.629 1.629 9.010
1.629 -1.629 9.010
1.629 1.629 -9.010
Zr Cr Sn
2 2 1
Direct
0.118 0.118 0.000
0.882 0.882 0.000
0.250 0.750 0.500
0.750 0.250 0.500
0.500 0.500 0.000
```

Offset from the most stable computed form in eV per atom: 0.208
Spin magnetization in μB/cell: 0.0
ΔE_f in eV/atom: 0.167

***

Entry 3:
The following is a PBE calculation of a relaxed ZrCrSn2 crystal, from Alexandria.

The structure in POSCAR format:
```
ZrCrSn2
1.0
0.000 3.398 3.398
3.398 0.000 3.398
3.398 3.398 0.000
Zr Cr Sn
1 1 2
Direct
0.000 0.000 0.000
0.500 0.500 0.500
0.250 0.250 0.250
0.750 0.750 0.750
```

Offset from the most stable computed form in eV per atom: 0.000
Spin magnetization in μB/cell: 0.0
ΔE_f in eV/atom: 0.217

***

Entry 4:
The following is a PBE calculation of a relaxed ZrCr3Sn crystal, from Alexandria.

The structure in POSCAR format:
```
ZrCr3Sn
1.0
4.899 0.000 0.000
0.000 4.899 0.000
0.000 0.000 4.899
Zr Cr Sn
1 3 1
Direct
0.000 0.000 0.000
0.000 0.500 0.500
0.500 0.000 0.500
0.500 0.500 0.000
0.500 0.500 0.500
```

Offset from the most stable computed form in eV per atom: 0.000
Spin magnetization in μB/cell: 9.1
ΔE_f in eV/atom: 1.439

***

Entry 5:
The following is a PBE calculation of a relaxed Zr2CrSn2 crystal, from Alexandria.

The structure in POSCAR format:
```
Zr2CrSn2
1.0
7.068 0.000 0.000
0.000 7.068 0.000
0.000 0.000 4.184
Zr Cr Sn
4 2 4
Direct
0.166 0.334 0.000
0.334 0.834 0.000
0.666 0.166 0.000
0.834 0.666 0.000
0.000 0.000 0.500
0.500 0.500 0.500
0.143 0.643 0.500
0.357 0.143 0.500
0.643 0.857 0.500
0.857 0.357 0.500
```

Spin magnetization in μB/cell: 0.0
ΔE_f in eV/atom: -0.106

***

Entry 6:
The following is a PBE calculation of a relaxed Zr3CrSn crystal, from Alexandria.

The structure in POSCAR format:
```
Zr3CrSn
1.0
4.840 0.000 0.000
0.000 4.840 0.000
0.000 0.000 4.840
Zr Cr Sn
3 1 1
Direct
0.000 0.000 0.500
0.000 0.500 0.000
0.500 0.000 0.000
0.000 0.000 0.000
0.500 0.500 0.500
```

Offset from the most stable computed form in eV per atom: 0.000
Spin magnetization in μB/cell: 0.5
ΔE_f in eV/atom: 0.287

***

Entry 7:
The following is a PBE calculation of a relaxed ZrCrSn2 crystal, from Alexandria.

The structure in POSCAR format:
```
ZrCrSn2
1.0
-2.150 2.150 10.114
2.150 -2.150 10.114
2.150 2.150 -10.114
Zr Cr Sn
2 2 4
Direct
0.000 0.000 0.000
0.750 0.250 0.500
0.250 0.750 0.500
0.500 0.500 0.000
0.136 0.625 0.011
0.375 0.386 0.511
0.614 0.125 0.989
0.875 0.864 0.489
```

Offset from the most stable computed form in eV per atom: 0.136
Spin magnetization in μB/cell: 6.3
ΔE_f in eV/atom: 0.353

***

Entry 8:
The following is a PBE calculation of a relaxed Zr2Cr2Sn crystal, from Alexandria.

The structure in POSCAR format:
```
Zr2Cr2Sn
1.0
7.871 0.000 0.000
0.000 7.871 0.000
0.000 0.000 3.288
Zr Cr Sn
4 4 2
Direct
0.152 0.348 0.000
0.348 0.848 0.000
0.652 0.152 0.000
0.848 0.652 0.000
0.137 0.637 0.500
0.363 0.137 0.500
0.637 0.863 0.500
0.863 0.363 0.500
0.000 0.000 0.000
0.500 0.500 0.000
```

Offset from the most stable computed form in eV per atom: 0.397
Spin magnetization in μB/cell: 11.6
ΔE_f in eV/atom: 0.356

***

Entry 9:
The following is a PBE calculation of a relaxed SrCr3 crystal, from Alexandria.

The structure in POSCAR format:
```
SrCr3
1.0
3.331 0.000 0.000
-1.665 2.885 0.000
0.000 0.000 8.599
Sr Cr
1 3
Direct
0.000 0.000 0.000
0.000 0.000 0.500
0.333 0.667 0.319
0.333 0.667 0.681
```

Spin magnetization in μB/cell: 4.1
ΔE_f in eV/atom: 0.972

***

Entry 10:
The following is a PBE calculation of a relaxed Sr3Cr5 crystal, from Alexandria.

The structure in POSCAR format:
```
Sr3Cr5
1.0
3.866 -5.377 0.000
3.866 5.377 0.000
0.000 0.000 5.102
Sr Cr
3 5
Direct
0.000 0.000 0.000
0.245 0.755 0.500
0.755 0.245 0.500
0.000 0.500 0.000
0.304 0.304 0.500
0.500 0.000 0.000
0.500 0.500 0.000
0.696 0.696 0.500
```

Offset from the most stable computed form in eV per atom: 0.059
Spin magnetization in μB/cell: 13.6
ΔE_f in eV/atom: 0.960

***

Entry 11:
The following is a PBE calculation of a relaxed SrCr3 crystal, from Alexandria.

The structure in POSCAR format:
```
SrCr3
1.0
-1.982 2.687 3.959
1.982 -2.687 3.959
1.982 2.687 -3.959
Sr Cr
1 3
Direct
0.000 0.000 0.000
0.298 0.798 0.500
0.500 0.500 0.000
0.702 0.202 0.500
```

Spin magnetization in μB/cell: 4.0
ΔE_f in eV/atom: 0.913

***

Entry 12:
The following is a PBE calculation of a relaxed SrCr crystal, from Alexandria.

The structure in POSCAR format:
```
SrCr
1.0
3.768 0.000 0.000
-1.884 3.263 0.000
0.000 0.000 9.333
Sr Cr
2 2
Direct
0.333 0.667 0.201
0.667 0.333 0.799
0.333 0.667 0.544
0.667 0.333 0.456
```

Spin magnetization in μB/cell: 0.0
ΔE_f in eV/atom: 0.980

***

Entry 13:
The following is a PBE calculation of a relaxed SrCr crystal, from Alexandria.

The structure in POSCAR format:
```
SrCr
1.0
4.019 0.000 0.000
-2.009 3.480 0.000
0.000 0.000 5.042
Sr Cr
1 1
Direct
0.000 0.000 0.000
0.667 0.333 0.500
```

Spin magnetization in μB/cell: 4.7
ΔE_f in eV/atom: 1.027

***

Entry 14:
The following is a PBE calculation of a relaxed SrCr2 crystal, from Alexandria.

The structure in POSCAR format:
```
SrCr2
1.0
3.463 0.000 0.000
-1.731 2.999 0.000
0.000 0.000 7.650
Sr Cr
1 2
Direct
0.000 0.000 0.000
0.333 0.667 0.354
0.667 0.333 0.646
```

Spin magnetization in μB/cell: 8.7
ΔE_f in eV/atom: 1.370

***

Entry 15:
The following is a PBE calculation of a relaxed SrCr crystal, from Alexandria.

The structure in POSCAR format:
```
SrCr
1.0
6.254 -1.980 0.000
6.254 1.980 0.000
-1.258 0.000 7.895
Sr Cr
3 3
Direct
0.000 0.000 0.000
0.065 0.065 0.557
0.294 0.294 0.265
0.299 0.299 0.798
0.713 0.713 0.910
0.804 0.804 0.614
```

Spin magnetization in μB/cell: 4.2
ΔE_f in eV/atom: 0.570

***

Entry 16:
The following is a PBE calculation of a relaxed SrCr2 crystal, from Alexandria.

The structure in POSCAR format:
```
SrCr2
1.0
-1.574 2.738 3.873
1.574 -2.738 3.873
1.574 2.738 -3.873
Sr Cr
1 2
Direct
0.000 0.000 0.000
0.385 0.385 0.000
0.615 0.615 0.000
```

Spin magnetization in μB/cell: 0.0
ΔE_f in eV/atom: 1.174

***

Entry 17:
The following is a PBE calculation of a relaxed Sr3Cr5 crystal, from Alexandria.

The structure in POSCAR format:
```
Sr3Cr5
1.0
10.827 0.000 0.000
-5.413 9.376 0.000
0.000 0.000 4.106
Sr Cr
6 10
Direct
0.000 0.359 0.250
0.000 0.641 0.750
0.359 0.000 0.250
0.359 0.359 0.750
0.641 0.000 0.750
0.641 0.641 0.250
0.000 0.121 0.750
0.000 0.879 0.250
0.121 0.000 0.750
0.121 0.121 0.250
0.333 0.667 0.000
0.333 0.667 0.500
0.667 0.333 0.000
0.667 0.333 0.500
0.879 0.000 0.250
0.879 0.879 0.750
```

Offset from the most stable computed form in eV per atom: 0.000
Spin magnetization in μB/cell: 0.0
ΔE_f in eV/atom: 0.901

***

Entry 18:
The following is a PBE calculation of a relaxed SrCr crystal, from Alexandria.

The structure in POSCAR format:
```
SrCr
1.0
-2.438 2.438 5.393
2.438 -2.438 5.393
2.438 2.438 -5.393
Sr Cr
2 2
Direct
0.375 0.625 0.750
0.625 0.375 0.250
0.125 0.875 0.250
0.875 0.125 0.750
```

Spin magnetization in μB/cell: 9.5
ΔE_f in eV/atom: 0.886

***

Entry 19:
The following is a PBE calculation of a relaxed SrCr crystal, from Alexandria.

The structure in POSCAR format:
```
SrCr
1.0
9.403 0.000 0.000
0.000 9.403 0.000
0.000 0.000 9.403
Sr Cr
6 6
Direct
0.000 0.250 0.500
0.000 0.750 0.500
0.250 0.500 0.000
0.500 0.000 0.250
0.500 0.000 0.750
0.750 0.500 0.000
0.000 0.500 0.250
0.000 0.500 0.750
0.250 0.000 0.500
0.500 0.250 0.000
0.500 0.750 0.000
0.750 0.000 0.500
```

Spin magnetization in μB/cell: 33.3
ΔE_f in eV/atom: 1.596

***

Entry 20:
The following is a PBE calculation of a relaxed SrCr crystal, from Alexandria.

The structure in POSCAR format:
```
SrCr
1.0
11.070 0.000 0.000
0.000 11.070 0.000
0.000 0.000 4.248
Sr Cr
8 8
Direct
0.041 0.228 0.000
0.228 0.959 0.000
0.284 0.655 0.500
0.345 0.284 0.500
0.655 0.716 0.500
0.716 0.345 0.500
0.772 0.041 0.000
0.959 0.772 0.000
0.049 0.425 0.500
0.094 0.509 0.000
0.425 0.951 0.500
0.491 0.094 0.000
0.509 0.906 0.000
0.575 0.049 0.500
0.906 0.491 0.000
0.951 0.575 0.500
```

Spin magnetization in μB/cell: 0.0
ΔE_f in eV/atom: 0.710